# LaTm2

A relaxed structure of LaTm2 (PBE, Alexandria via LeMat-Bulk).

Cell lengths 3.585, 3.585, 7.983 Å; angles 102.98, 102.98, 90.00 degrees
Atoms (fractional coordinates):
Tm1 0.671 0.671 0.341
Tm2 0.329 0.329 0.659
La1 0.000 0.000 0.000

Output
Density of states at the Fermi level: 1.472 states/eV/atom
ΔE_f: 0.04 eV per atom